(1)
! Pr3Nd2Sm3 | the Alexandria database | PBE | relaxed; values from VASP
&SYSTEM
  ibrav = 0, nat = 16, ntyp = 3
/
ATOMIC_SPECIES
Sm 150.36 Sm.upf
Pr 140.91 Pr.upf
Nd 144.24 Nd.upf
CELL_PARAMETERS angstrom
-4.959 -0.965 -2.648
5.086 -3.857 -1.999
-3.982 -11.234 11.550
ATOMIC_POSITIONS angstrom
Sm -1.909 -8.750 0.605
Sm -2.218 -5.389 -0.044
Sm -3.218 -10.897 9.991
Sm -0.637 -5.159 -3.087
Sm -1.637 -10.667 6.948
Sm -1.945 -7.306 6.299
Pr -0.207 -9.517 3.839
Pr -1.783 -13.964 8.411
Pr -3.648 -6.539 3.065
Pr 1.417 -6.814 -0.177
Pr -2.071 -2.092 -1.507
Pr -5.272 -9.242 7.081
Nd 0.646 -3.411 0.020
Nd -4.501 -12.645 6.884
Nd -0.305 -6.094 2.778
Nd -3.550 -9.963 4.126
! **DFT total energy**: -4.6306 eV per atom
! **E_form**: 0.123 eV per atom
! **M_tot**: 0.0 μB per formula unit
! **DOS(E_F)**: 25.2 states/eV per cell
! **Energy relative to the lowest polymorph listed for this composition**: 111 meV per atom



(2)
! LiAu2Cl | the Alexandria database | PBE | relaxed; values from VASP
&SYSTEM
  ibrav = 0, nat = 4, ntyp = 3
/
ATOMIC_SPECIES
Li 6.94 Li.upf
Au 196.97 Au.upf
Cl 35.45 Cl.upf
CELL_PARAMETERS angstrom
4.753 -0.001 0.000
0.013 4.753 0.000
-2.383 -2.376 3.356
ATOMIC_POSITIONS angstrom
Li 2.376 0.000 1.678
Au 0.006 2.376 1.678
Au 0.000 0.000 0.000
Cl 2.383 2.376 0.000
! **DFT total energy**: -2.7791 eV per atom
! **M_tot**: 0.0 μB per formula unit
! **DOS(E_F)**: 0.5 states/eV per cell
! **Raw formation energy**: -0.200 eV/atom
! **Energy relative to the lowest polymorph listed for this composition**: 373 meV per atom



(3)
! Ce2PrMgP4 | the Alexandria database | PBE | relaxed; values from VASP
&SYSTEM
  ibrav = 0, nat = 8, ntyp = 4
/
ATOMIC_SPECIES
Ce 140.12 Ce.upf
P 30.97 P.upf
Pr 140.91 Pr.upf
Mg 24.30 Mg.upf
CELL_PARAMETERS angstrom
4.111 0.000 0.000
0.000 7.011 -0.078
0.000 2.524 6.614
ATOMIC_POSITIONS angstrom
Ce 2.055 1.262 3.307
Ce 0.000 2.524 6.614
P 0.000 7.197 4.858
P 2.055 3.613 4.898
P 2.056 5.922 1.638
P 4.111 2.338 1.678
Pr 2.056 6.030 6.575
Mg 0.000 4.768 3.268
! **DFT total energy**: -6.1864 eV per atom
! **E_form**: -1.201 eV per atom
! **M_tot**: 0.8 μB per formula unit
! **DOS(E_F)**: 7.2 states/eV per cell



(4)
! BaCaPd10 | the Alexandria database | PBE | relaxed; values from VASP
&SYSTEM
  ibrav = 0, nat = 12, ntyp = 3
/
ATOMIC_SPECIES
Pd 106.42 Pd.upf
Ca 40.08 Ca.upf
Ba 137.33 Ba.upf
CELL_PARAMETERS angstrom
-2.796 2.887 1.937
-1.987 -4.011 3.110
6.521 1.887 6.600
ATOMIC_POSITIONS angstrom
Pd -1.213 -1.073 4.984
Pd 2.231 0.646 2.258
Pd -2.391 -0.562 2.523
Pd 1.968 -0.153 8.204
Pd 4.365 -0.455 6.978
Pd 0.170 -1.669 2.732
Pd -0.228 0.916 3.443
Pd 2.953 1.836 6.662
Pd 4.290 1.241 4.342
Pd 1.863 2.387 4.269
Ca 2.267 -1.062 4.855
Ba 0.000 0.000 0.000
! **DFT total energy**: -4.9929 eV per atom
! **E_form**: -0.338 eV per atom
! **M_tot**: 0.0 μB per formula unit
! **DOS(E_F)**: 13.9 states/eV per cell